Record 1
A geometry-optimized Sr2In6Pd structure. Source: Alexandria via LeMat-Bulk, functional PBE.

a = 6.221 Å, b = 6.711 Å, c = 6.711 Å
α = 60.02°, β = 90.01°, γ = 90.01°
Atoms (fractional coordinates):
In: 0.311 0.346 0.826
In: 0.689 0.173 0.173
In: 0.311 0.826 0.346
Sr: 0.170 0.333 0.333
In: 0.311 0.827 0.827
In: 0.689 0.174 0.654
Pd: 0.000 0.000 0.000
In: 0.689 0.654 0.174
Sr: 0.830 0.667 0.667

Properties
DOS at the Fermi energy   3.48 states/eV/cell
Space group   P-3m1, No. 164
Formation energy   -352.8 kJ/mol of formula units

=====

Record 2
A geometry-optimized LaSiPt3 structure. Source: Alexandria via LeMat-Bulk, functional PBE.

a = 4.727 Å, b = 5.784 Å, c = 7.511 Å
α = 90.00°, β = 90.00°, γ = 90.00°
Atoms (fractional coordinates):
Si: 0.000 0.000 0.500
Pt: 0.000 0.749 0.250
Pt: 0.500 0.000 0.500
Pt: 0.500 0.500 0.000
Pt: 0.000 0.249 0.250
Pt: 0.000 0.751 0.750
La: 0.500 0.000 0.000
Pt: 0.000 0.251 0.750
Si: 0.000 0.500 0.000
La: 0.500 0.500 0.500

Properties
DOS at the Fermi energy   3.70 states/eV/cell
Space group   Cmmm, No. 65
Formation energy from raw total energies   -18.89 kcal/mol of atoms

=====

Record 3
A geometry-optimized NdAgTe4Pb2 structure. Source: Alexandria via LeMat-Bulk, functional PBE.

a = 4.529 Å, b = 7.977 Å, c = 7.799 Å
α = 70.11°, β = 90.00°, γ = 90.00°
Atoms (fractional coordinates):
Nd: 0.000 0.500 0.500
Ag: 0.500 0.500 0.000
Te: 0.500 0.742 0.252
Pb: 0.500 0.000 0.500
Pb: 0.000 0.000 0.000
Te: 0.500 0.258 0.748
Te: 0.000 0.270 0.236
Te: 0.000 0.730 0.764

Properties
Space group   P2/m, No. 10
Formation energy from raw total energies   -14.05 kcal/mol of atoms

=====

Record 4
A geometry-optimized Ce2HoSi3Rh4 structure. Source: Alexandria via LeMat-Bulk, functional PBE.

a = 4.115 Å, b = 4.115 Å, c = 10.971 Å
α = 90.00°, β = 90.00°, γ = 90.00°
Last column: magnetic moment on the atom in μB.
Atoms (fractional coordinates):
Si: 0.000 0.500 0.117  0.00
Ce: 0.500 0.000 0.233  0.55
Ho: 0.500 0.500 0.500  0.03
Ce: 0.000 0.500 0.767  0.55
Si: 0.000 0.000 0.500  0.00
Rh: 0.500 0.000 0.664  -0.02
Rh: 0.000 0.500 0.336  -0.02
Rh: 0.000 0.000 0.000  -0.01
Rh: 0.500 0.500 0.000  -0.01
Si: 0.500 0.000 0.883  0.00

Properties
DOS at the Fermi energy   9.13 states/eV/cell
Space group   P-4m2, No. 115
Formation energy from raw total energies   -22.16 kcal/mol of atoms

=====

Record 5
A geometry-optimized K6CeBr8 structure. Source: Alexandria via LeMat-Bulk, functional PBE.

a = 9.564 Å, b = 9.564 Å, c = 9.564 Å
α = 60.00°, β = 60.00°, γ = 60.00°
Last column: magnetic moment on the atom in μB.
Atoms (fractional coordinates):
K: 0.500 0.000 0.500  0.00
Br: 0.225 0.775 0.775  0.00
K: 0.500 0.000 0.000  0.00
Br: 0.775 0.225 0.225  0.00
Br: 0.225 0.225 0.775  0.00
Br: 0.775 0.775 0.225  0.00
K: 0.000 0.500 0.000  0.00
K: 0.000 0.000 0.500  0.00
Br: 0.250 0.250 0.250  0.00
K: 0.000 0.500 0.500  0.00
Br: 0.750 0.750 0.750  0.00
Ce: 0.000 0.000 0.000  1.43
Br: 0.775 0.225 0.775  0.00
Br: 0.225 0.775 0.225  0.00
K: 0.500 0.500 0.000  0.00

Properties
DOS at the Fermi energy   13.54 states/eV/cell
Space group   Fm-3m, No. 225
Formation energy from raw total energies   -38.89 kcal/mol of atoms

=====

Record 6
A geometry-optimized TbHf3Pt12 structure. Source: Alexandria via LeMat-Bulk, functional PBE.

a = 4.051 Å, b = 4.051 Å, c = 16.267 Å
α = 90.00°, β = 90.00°, γ = 90.00°
Atoms (fractional coordinates):
Pt: 0.000 0.500 0.132
Hf: 0.000 0.000 0.500
Pt: 0.000 0.500 0.868
Pt: 0.500 0.000 0.868
Hf: 0.000 0.000 0.251
Pt: 0.000 0.500 0.623
Hf: 0.000 0.000 0.749
Tb: 0.000 0.000 0.000
Pt: 0.500 0.000 0.132
Pt: 0.500 0.000 0.377
Pt: 0.500 0.500 0.745
Pt: 0.500 0.500 0.500
Pt: 0.500 0.000 0.623
Pt: 0.000 0.500 0.377
Pt: 0.500 0.500 0.000
Pt: 0.500 0.500 0.255

Properties
DOS at the Fermi energy   2.48 states/eV/cell
Space group   P4/mmm, No. 123
Formation energy   -1704.4 kJ/mol of formula units

=====

Record 7
A geometry-optimized Ba2YSi structure. Source: Alexandria via LeMat-Bulk, functional PBE.

a = 7.261 Å, b = 7.261 Å, c = 7.261 Å
α = 146.27°, β = 132.30°, γ = 59.69°
Atoms (fractional coordinates):
Ba: 0.007 0.007 0.000
Si: 0.474 0.474 0.000
Y: 0.324 0.824 0.500
Ba: 0.695 0.195 0.500

Properties
DOS at the Fermi energy   4.38 states/eV/cell
Space group   Imm2, No. 44
Formation energy from raw total energies   -2.40 kcal/mol of atoms

=====

Record 8
A geometry-optimized Hf8Cd structure. Source: Alexandria via LeMat-Bulk, functional PBE.

a = 4.385 Å, b = 7.102 Å, c = 7.102 Å
α = 84.53°, β = 72.02°, γ = 72.02°
Atoms (fractional coordinates):
Hf: 0.000 0.337 0.663
Hf: 0.670 0.661 0.000
Hf: 0.663 0.337 0.337
Hf: 0.337 0.663 0.663
Hf: 0.330 0.339 0.000
Cd: 0.000 0.000 0.000
Hf: 0.670 0.000 0.661
Hf: 0.330 0.000 0.339
Hf: 0.000 0.663 0.337

Properties
DOS at the Fermi energy   8.98 states/eV/cell
Space group   I4/mmm, No. 139
Formation energy   13.8 kJ/mol of formula units